{
  "formula": "PrCdNi",
  "functional": "PBE-GGA",
  "state": "optimized geometry",
  "crystal_system": "tetragonal",
  "n_ef_per_ev_cell": 1.8,
  "total_energy_ev_per_atom": -3.967,
  "ef_ev_per_fu": -0.424,
  "cell": [[3.449, 0.000, 0.000], [0.000, 3.449, 0.000], [-1.725, -1.725, 5.545]],
  "species": ["Pr", "Ni", "Cd"],
  "frac_coords": [[0.687, 0.687, 0.374], [0.342, 0.342, 0.685], [0.971, 0.971, 0.941]]
}